1.
# PBE LaPm4Y10, optimized geometry
# Formation energy from the elements in eV per formula unit: 8.20
# N(E_F) in states/eV/atom: 1.995
data_LaPm4Y10
_chemical_formula_sum 'La2 Pm8 Y20'
_cell_length_a 12.958
_cell_length_b 12.958
_cell_length_c 6.596
_cell_angle_alpha 90.00
_cell_angle_beta 90.00
_cell_angle_gamma 90.00
_symmetry_space_group_name_H-M 'I 4/m'
_symmetry_Int_Tables_number 87
_symmetry_space_group_name_Hall '-I 4'
loop_
_atom_site_label
_atom_site_type_symbol
_atom_site_fract_x
_atom_site_fract_y
_atom_site_fract_z
La1 La 0.000 0.000 0.000
Pm1 Pm 0.067 0.827 0.500
Y1 Y 0.000 0.500 0.250
Y2 Y 0.130 0.294 0.250

=====

2.
# PBE LaPm5Y3, optimized geometry
# Formation energy from the elements in eV per formula unit: 3.56
# N(E_F) in states/eV/atom: 1.472
data_LaPm5Y3
_chemical_formula_sum 'La4 Pm20 Y12'
_cell_length_a 17.096
_cell_length_b 8.216
_cell_length_c 12.485
_cell_angle_alpha 90.00
_cell_angle_beta 131.01
_cell_angle_gamma 90.00
_symmetry_space_group_name_H-M 'C 1 2/m 1'
_symmetry_Int_Tables_number 12
_symmetry_space_group_name_Hall '-C 2y'
loop_
_atom_site_label
_atom_site_type_symbol
_atom_site_fract_x
_atom_site_fract_y
_atom_site_fract_z
La1 La 0.239 0.000 0.134
Pm1 Pm 0.000 0.318 0.000
Pm2 Pm 0.063 0.203 0.777
Pm3 Pm 0.131 0.000 0.573
Pm4 Pm 0.196 0.500 0.066
Y1 Y 0.000 0.000 0.000
Y2 Y 0.000 0.500 0.500
Y3 Y 0.114 0.500 0.315
Y4 Y 0.175 0.000 0.343

=====

3.
# PBE LaPm6Y2, optimized geometry
# Formation energy from the elements in eV per formula unit: 1.18
# N(E_F) in states/eV/atom: 1.862
data_LaPm6Y2
_chemical_formula_sum 'La1 Pm6 Y2'
_cell_length_a 10.1347
_cell_length_b 10.1347
_cell_length_c 3.4821
_cell_angle_alpha 90.00
_cell_angle_beta 90.00
_cell_angle_gamma 120.00
_symmetry_space_group_name_H-M 'P -3 1 m'
_symmetry_Int_Tables_number 162
_symmetry_space_group_name_Hall '-P 3 2'
loop_
_atom_site_label
_atom_site_type_symbol
_atom_site_fract_x
_atom_site_fract_y
_atom_site_fract_z
La1 La 0.0000 0.0000 0.0000
Pm1 Pm 0.0000 0.3424 0.7795
Y1 Y 0.3333 0.6667 0.5000

=====

4.
# PBE LaPm6Y12, optimized geometry
# Formation energy from the elements in eV per formula unit: 1.88
# N(E_F) in states/eV/atom: 1.755
data_LaPm6Y12
_chemical_formula_sum 'La3 Pm18 Y36'
_cell_length_a 11.1823
_cell_length_b 11.1823
_cell_length_c 17.5691
_cell_angle_alpha 90.00
_cell_angle_beta 90.00
_cell_angle_gamma 120.00
_symmetry_space_group_name_H-M 'R -3 m'
_symmetry_Int_Tables_number 166
_symmetry_space_group_name_Hall '-R 3 2"'
loop_
_atom_site_label
_atom_site_type_symbol
_atom_site_fract_x
_atom_site_fract_y
_atom_site_fract_z
La1 La 0.0000 0.0000 0.0000
Pm1 Pm 0.0733 0.5366 0.7632
Y1 Y 0.1051 0.5525 0.4157
Y2 Y 0.1070 0.2141 0.4110

=====

5.
# PBE La2Pm3Y4, optimized geometry
# Formation energy from the elements in eV per formula unit: 0.20
# N(E_F) in states/eV/atom: 1.574
data_La2Pm3Y4
_chemical_formula_sum 'La2 Pm3 Y4'
_cell_length_a 6.281
_cell_length_b 6.320
_cell_length_c 8.133
_cell_angle_alpha 82.54
_cell_angle_beta 75.17
_cell_angle_gamma 80.37
_symmetry_space_group_name_H-M 'P -1'
_symmetry_Int_Tables_number 2
_symmetry_space_group_name_Hall '-P 1'
loop_
_atom_site_label
_atom_site_type_symbol
_atom_site_fract_x
_atom_site_fract_y
_atom_site_fract_z
La1 La 0.166 0.332 0.334
Pm1 Pm 0.056 0.110 0.780
Pm2 Pm 0.500 0.000 0.000
Y1 Y 0.277 0.554 0.889
Y2 Y 0.391 0.776 0.444

=====

6.
# PBE La5PmY8, optimized geometry
# Formation energy from the elements in eV per formula unit: 3.11
# N(E_F) in states/eV/atom: 1.520
data_La5PmY8
_chemical_formula_sum 'La10 Pm2 Y16'
_cell_length_a 13.005
_cell_length_b 10.282
_cell_length_c 9.550
_cell_angle_alpha 90.00
_cell_angle_beta 130.29
_cell_angle_gamma 90.00
_symmetry_space_group_name_H-M 'C 1 2 1'
_symmetry_Int_Tables_number 5
_symmetry_space_group_name_Hall 'C 2y'
loop_
_atom_site_label
_atom_site_type_symbol
_atom_site_fract_x
_atom_site_fract_y
_atom_site_fract_z
La1 La 0.000 0.000 0.000
La2 La 0.101 0.428 0.883
La3 La 0.214 0.588 0.339
Pm1 Pm 0.000 0.711 0.500
Y1 Y 0.067 0.091 0.735
Y2 Y 0.106 0.753 0.925
Y3 Y 0.175 0.246 0.234
Y4 Y 0.180 0.396 0.603

=====

7.
# PBE La7Pm2Y, optimized geometry
# Formation energy from the elements in eV per formula unit: 3.12
# N(E_F) in states/eV/atom: 1.596
data_La7Pm2Y
_chemical_formula_sum 'La14 Pm4 Y2'
_cell_length_a 12.173
_cell_length_b 17.185
_cell_length_c 3.583
_cell_angle_alpha 90.00
_cell_angle_beta 90.00
_cell_angle_gamma 90.00
_symmetry_space_group_name_H-M 'C m m m'
_symmetry_Int_Tables_number 65
_symmetry_space_group_name_Hall '-C 2 2'
loop_
_atom_site_label
_atom_site_type_symbol
_atom_site_fract_x
_atom_site_fract_y
_atom_site_fract_z
La1 La 0.000 0.000 0.000
La2 La 0.000 0.181 0.500
La3 La 0.246 0.128 0.000
Pm1 Pm 0.000 0.332 0.000
Y1 Y 0.000 0.500 0.500

=====

8.
# PBE La3Pm2Y7, optimized geometry
# Formation energy from the elements in eV per formula unit: 2.79
# N(E_F) in states/eV/atom: 1.791
data_La3Pm2Y7
_chemical_formula_sum 'La6 Pm4 Y14'
_cell_length_a 3.704
_cell_length_b 41.208
_cell_length_c 5.706
_cell_angle_alpha 90.00
_cell_angle_beta 90.00
_cell_angle_gamma 90.00
_symmetry_space_group_name_H-M 'C m m m'
_symmetry_Int_Tables_number 65
_symmetry_space_group_name_Hall '-C 2 2'
loop_
_atom_site_label
_atom_site_type_symbol
_atom_site_fract_x
_atom_site_fract_y
_atom_site_fract_z
La1 La 0.000 0.000 0.000
La2 La 0.000 0.329 0.500
Pm1 Pm 0.000 0.137 0.000
Y1 Y 0.000 0.084 0.500
Y2 Y 0.000 0.215 0.000
Y3 Y 0.000 0.432 0.000
Y4 Y 0.000 0.500 0.500

=====

9.
# PBE La8PmY4, optimized geometry
# Formation energy from the elements in eV per formula unit: 5.75
# N(E_F) in states/eV/atom: 1.873
data_La8PmY4
_chemical_formula_sum 'La24 Pm3 Y12'
_cell_length_a 11.4242
_cell_length_b 11.4242
_cell_length_c 13.6389
_cell_angle_alpha 90.00
_cell_angle_beta 90.00
_cell_angle_gamma 120.00
_symmetry_space_group_name_H-M 'R -3 m'
_symmetry_Int_Tables_number 166
_symmetry_space_group_name_Hall '-R 3 2"'
loop_
_atom_site_label
_atom_site_type_symbol
_atom_site_fract_x
_atom_site_fract_y
_atom_site_fract_z
La1 La 0.0000 0.0000 0.2372
La2 La 0.0130 0.5065 0.7415
Pm1 Pm 0.0000 0.0000 0.5000
Y1 Y 0.0000 0.0000 0.0000
Y2 Y 0.0000 0.5000 0.0000

=====

10.
# PBE La3Pm3Y2, optimized geometry
# Formation energy from the elements in eV per formula unit: 0.17
# N(E_F) in states/eV/atom: 1.715
data_La3Pm3Y2
_chemical_formula_sum 'La6 Pm6 Y4'
_cell_length_a 5.180
_cell_length_b 5.203
_cell_length_c 20.700
_cell_angle_alpha 90.00
_cell_angle_beta 90.00
_cell_angle_gamma 90.00
_symmetry_space_group_name_H-M 'I m m m'
_symmetry_Int_Tables_number 71
_symmetry_space_group_name_Hall '-I 2 2'
loop_
_atom_site_label
_atom_site_type_symbol
_atom_site_fract_x
_atom_site_fract_y
_atom_site_fract_z
La1 La 0.000 0.000 0.000
La2 La 0.000 0.500 0.126
Pm1 Pm 0.000 0.000 0.500
Pm2 Pm 0.000 0.500 0.372
Y1 Y 0.000 0.000 0.249

=====

11.
# PBE LaPm5Y8, optimized geometry
# Formation energy from the elements in eV per formula unit: 3.21
# N(E_F) in states/eV/atom: 1.534
data_LaPm5Y8
_chemical_formula_sum 'La2 Pm10 Y16'
_cell_length_a 9.659
_cell_length_b 9.659
_cell_length_c 10.217
_cell_angle_alpha 90.00
_cell_angle_beta 90.00
_cell_angle_gamma 90.00
_symmetry_space_group_name_H-M 'I -4'
_symmetry_Int_Tables_number 82
_symmetry_space_group_name_Hall 'I -4'
loop_
_atom_site_label
_atom_site_type_symbol
_atom_site_fract_x
_atom_site_fract_y
_atom_site_fract_z
La1 La 0.000 0.000 0.000
Pm1 Pm 0.000 0.500 0.750
Pm2 Pm 0.110 0.788 0.424
Y1 Y 0.072 0.674 0.100
Y2 Y 0.084 0.824 0.754

=====

12.
# PBE La2Pm5Y3, optimized geometry
# Formation energy from the elements in eV per formula unit: 1.83
# N(E_F) in states/eV/atom: 1.737
data_La2Pm5Y3
_chemical_formula_sum 'La8 Pm20 Y12'
_cell_length_a 11.069
_cell_length_b 15.691
_cell_length_c 9.729
_cell_angle_alpha 90.00
_cell_angle_beta 124.29
_cell_angle_gamma 90.00
_symmetry_space_group_name_H-M 'C 1 2/c 1'
_symmetry_Int_Tables_number 15
_symmetry_space_group_name_Hall '-C 2yc'
loop_
_atom_site_label
_atom_site_type_symbol
_atom_site_fract_x
_atom_site_fract_y
_atom_site_fract_z
La1 La 0.147 0.126 0.054
Pm1 Pm 0.000 0.227 0.250
Pm2 Pm 0.000 0.268 0.750
Pm3 Pm 0.000 0.468 0.750
Pm4 Pm 0.233 0.381 0.225
Y1 Y 0.000 0.020 0.250
Y2 Y 0.156 0.378 0.545

=====

13.
# PBE La7Pm3Y2, optimized geometry
# Formation energy from the elements in eV per formula unit: 0.77
# N(E_F) in states/eV/atom: 1.535
data_La7Pm3Y2
_chemical_formula_sum 'La7 Pm3 Y2'
_cell_length_a 6.602
_cell_length_b 3.600
_cell_length_c 18.003
_cell_angle_alpha 90.00
_cell_angle_beta 95.82
_cell_angle_gamma 90.00
_symmetry_space_group_name_H-M 'P 1 2/m 1'
_symmetry_Int_Tables_number 10
_symmetry_space_group_name_Hall '-P 2y'
loop_
_atom_site_label
_atom_site_type_symbol
_atom_site_fract_x
_atom_site_fract_y
_atom_site_fract_z
La1 La 0.000 0.000 0.000
La2 La 0.222 0.500 0.171
La3 La 0.262 0.500 0.492
La4 La 0.274 0.000 0.832
Pm1 Pm 0.455 0.000 0.336
Pm2 Pm 0.500 0.500 0.000
Y1 Y 0.057 0.500 0.669

=====

14.
# PBE La2Pm4Y7, optimized geometry
# Formation energy from the elements in eV per formula unit: 2.14
# N(E_F) in states/eV/atom: 1.554
data_La2Pm4Y7
_chemical_formula_sum 'La2 Pm4 Y7'
_cell_length_a 6.1730
_cell_length_b 6.1730
_cell_length_c 13.5207
_cell_angle_alpha 90.00
_cell_angle_beta 90.00
_cell_angle_gamma 120.00
_symmetry_space_group_name_H-M 'P -3 1 m'
_symmetry_Int_Tables_number 162
_symmetry_space_group_name_Hall '-P 3 2'
loop_
_atom_site_label
_atom_site_type_symbol
_atom_site_fract_x
_atom_site_fract_y
_atom_site_fract_z
La1 La 0.3333 0.6667 0.0000
Pm1 Pm 0.0000 0.0000 0.3938
Pm2 Pm 0.3333 0.6667 0.5000
Y1 Y 0.0000 0.0000 0.0000
Y2 Y 0.0000 0.3535 0.2152

=====

15.
# PBE LaPm3Y3, optimized geometry
# Formation energy from the elements in eV per formula unit: 0.16
# N(E_F) in states/eV/atom: 1.953
data_LaPm3Y3
_chemical_formula_sum 'La2 Pm6 Y6'
_cell_length_a 9.7692
_cell_length_b 9.7692
_cell_length_c 5.8112
_cell_angle_alpha 90.00
_cell_angle_beta 90.00
_cell_angle_gamma 120.00
_symmetry_space_group_name_H-M 'P 63/m'
_symmetry_Int_Tables_number 176
_symmetry_space_group_name_Hall '-P 6c'
loop_
_atom_site_label
_atom_site_type_symbol
_atom_site_fract_x
_atom_site_fract_y
_atom_site_fract_z
La1 La 0.3333 0.6667 0.2500
Pm1 Pm 0.0495 0.8107 0.2500
Y1 Y 0.0957 0.6195 0.7500

=====

16.
# PBE La7PmY12, optimized geometry
# Formation energy from the elements in eV per formula unit: 11.89
# N(E_F) in states/eV/atom: 1.552
data_La7PmY12
_chemical_formula_sum 'La14 Pm2 Y24'
_cell_length_a 11.394
_cell_length_b 11.394
_cell_length_c 11.394
_cell_angle_alpha 90.00
_cell_angle_beta 90.00
_cell_angle_gamma 90.00
_symmetry_space_group_name_H-M 'I m -3 m'
_symmetry_Int_Tables_number 229
_symmetry_space_group_name_Hall '-I 4 2 3'
loop_
_atom_site_label
_atom_site_type_symbol
_atom_site_fract_x
_atom_site_fract_y
_atom_site_fract_z
La1 La 0.000 0.000 0.500
La2 La 0.250 0.250 0.250
Pm1 Pm 0.000 0.000 0.000
Y1 Y 0.000 0.248 0.248

=====

17.
# PBE La3Pm2Y2, optimized geometry
# Formation energy from the elements in eV per formula unit: 0.33
# N(E_F) in states/eV/atom: 1.490
data_La3Pm2Y2
_chemical_formula_sum 'La6 Pm4 Y4'
_cell_length_a 23.966
_cell_length_b 5.726
_cell_length_c 3.605
_cell_angle_alpha 90.00
_cell_angle_beta 98.65
_cell_angle_gamma 90.00
_symmetry_space_group_name_H-M 'C 1 2/m 1'
_symmetry_Int_Tables_number 12
_symmetry_space_group_name_Hall '-C 2y'
loop_
_atom_site_label
_atom_site_type_symbol
_atom_site_fract_x
_atom_site_fract_y
_atom_site_fract_z
La1 La 0.000 0.000 0.000
La2 La 0.221 0.500 0.222
Pm1 Pm 0.078 0.500 0.578
Y1 Y 0.143 0.000 0.143

=====

18.
# PBE La2Pm3Y7, optimized geometry
# Formation energy from the elements in eV per formula unit: 1.08
# N(E_F) in states/eV/atom: 1.352
data_La2Pm3Y7
_chemical_formula_sum 'La2 Pm3 Y7'
_cell_length_a 5.914
_cell_length_b 3.621
_cell_length_c 19.082
_cell_angle_alpha 90.00
_cell_angle_beta 93.23
_cell_angle_gamma 90.00
_symmetry_space_group_name_H-M 'P 1 2/m 1'
_symmetry_Int_Tables_number 10
_symmetry_space_group_name_Hall '-P 2y'
loop_
_atom_site_label
_atom_site_type_symbol
_atom_site_fract_x
_atom_site_fract_y
_atom_site_fract_z
La1 La 0.207 0.000 0.293
Pm1 Pm 0.000 0.000 0.000
Pm2 Pm 0.279 0.500 0.630
Y1 Y 0.186 0.500 0.141
Y2 Y 0.242 0.000 0.462
Y3 Y 0.311 0.000 0.828
Y4 Y 0.500 0.500 0.000

=====

19.
# PBE LaPm2Y4, optimized geometry
# Formation energy from the elements in eV per formula unit: 0.64
# N(E_F) in states/eV/atom: 1.682
data_LaPm2Y4
_chemical_formula_sum 'La3 Pm6 Y12'
_cell_length_a 3.5892
_cell_length_b 3.5892
_cell_length_c 63.9466
_cell_angle_alpha 90.00
_cell_angle_beta 90.00
_cell_angle_gamma 120.00
_symmetry_space_group_name_H-M 'R -3 m'
_symmetry_Int_Tables_number 166
_symmetry_space_group_name_Hall '-R 3 2"'
loop_
_atom_site_label
_atom_site_type_symbol
_atom_site_fract_x
_atom_site_fract_y
_atom_site_fract_z
La1 La 0.0000 0.0000 0.0000
Pm1 Pm 0.0000 0.0000 0.2341
Y1 Y 0.0000 0.0000 0.1438
Y2 Y 0.0000 0.0000 0.2878

=====

20.
# PBE La9Pm2Y, optimized geometry
# Formation energy from the elements in eV per formula unit: 0.07
# N(E_F) in states/eV/atom: 1.528
data_La9Pm2Y
_chemical_formula_sum 'La9 Pm2 Y1'
_cell_length_a 5.231
_cell_length_b 5.231
_cell_length_c 15.681
_cell_angle_alpha 90.00
_cell_angle_beta 90.00
_cell_angle_gamma 90.00
_symmetry_space_group_name_H-M 'P 4/m m m'
_symmetry_Int_Tables_number 123
_symmetry_space_group_name_Hall '-P 4 2'
loop_
_atom_site_label
_atom_site_type_symbol
_atom_site_fract_x
_atom_site_fract_y
_atom_site_fract_z
La1 La 0.000 0.000 0.000
La2 La 0.000 0.000 0.333
La3 La 0.000 0.500 0.166
La4 La 0.000 0.500 0.500
Pm1 Pm 0.500 0.500 0.333
Y1 Y 0.500 0.500 0.000